Record 1
Here is an optimized crystal structure of LiHoTeO from OQMD via LeMat-Bulk. Energies are from PBE.

Summary:
The polymorph energy (0 for the lowest one) comes out at 0.107 eV/atom. As for the energy: -5.7382 eV/atom.

Unit cell a=6.7090 b=7.4296 c=6.4356 alpha=90.00 beta=100.69 gamma=90.00
With the nearest neighbours (Å) after each atom.
Fractional positions:
Ho  0.5554  0.6181  0.2277  3 O 2.19-2.30
Ho  0.4446  0.1181  0.2724  3 O 2.19-2.30
Ho  0.5554  0.8819  0.7277  3 O 2.19-2.30
Ho  0.4446  0.3819  0.7723  3 O 2.19-2.30
Li  0.8620  0.2789  0.0320  1 O 2.00
Li  0.1380  0.7789  0.4680  1 O 2.00
Li  0.8620  0.2211  0.5320  1 O 2.00
Li  0.1380  0.7211  0.9680  1 O 2.00
O  0.5915  0.3388  0.1013  1 Li 2.00, 1 Ho 2.19
O  0.4085  0.8388  0.3987  1 Li 2.00, 1 Ho 2.19
O  0.5915  0.1612  0.6013  1 Li 2.00, 1 Ho 2.19
O  0.4085  0.6612  0.8987  1 Li 2.00, 1 Ho 2.19
Te  0.8343  0.9341  0.1866  2 Li 2.72-2.77, 1 Ho 3.04
Te  0.1657  0.4341  0.3134  2 Li 2.72-2.77, 1 Ho 3.04
Te  0.8343  0.5659  0.6866  2 Li 2.72-2.77, 1 Ho 3.04
Te  0.1657  0.0659  0.8134  2 Li 2.72-2.77, 1 Ho 3.04


Record 2
Here is an optimized crystal structure of LiHoTeO from OQMD via LeMat-Bulk. Energies are from PBE.

Summary:
The polymorph energy (0 for the lowest one) comes out at 0.230 eV/atom. As for the energy: -5.6154 eV/atom.

Unit cell a=3.9611 b=6.6032 c=6.7995 alpha=90.00 beta=90.00 gamma=90.00
With the nearest neighbours (Å) after each atom.
Fractional positions:
Ho  0.5000  0.0218  0.4458  2 O 2.15-2.18
Ho  0.5000  0.9782  0.9458  2 O 2.15-2.18
Li  0.0000  0.3207  0.1554  2 O 2.14
Li  0.0000  0.6793  0.6554  2 O 2.14
O  0.5000  0.2013  0.1811  2 Li 2.14, 2 Ho 2.15-2.18
O  0.5000  0.7987  0.6811  2 Li 2.14, 2 Ho 2.15-2.18
Te  0.0000  0.7431  0.2087  2 Li 2.81-3.07, 4 Ho 3.09-3.15
Te  0.0000  0.2569  0.7087  2 Li 2.81-3.07, 4 Ho 3.09-3.15


Record 3
Here is an optimized crystal structure of LiHoTeO from OQMD via LeMat-Bulk. Energies are from PBE.

Summary:
The polymorph energy (0 for the lowest one) comes out at 0.000 eV/atom. As for the energy: -5.8452 eV/atom.

Unit cell a=4.0228 b=4.0228 c=9.3591 alpha=90.00 beta=90.00 gamma=90.00
With the nearest neighbours (Å) after each atom.
Fractional positions:
Ho  0.2500  0.2500  0.1107  4 O 2.26
Ho  0.7500  0.7500  0.8893  4 O 2.26
Li  0.7500  0.2500  0.5000  4 Te 2.69, 4 Li 2.84
Li  0.2500  0.7500  0.5000  4 Te 2.69, 4 Li 2.84
O  0.7500  0.2500  0.0000  4 Ho 2.26
O  0.2500  0.7500  0.0000  4 Ho 2.26
Te  0.7500  0.7500  0.3087  4 Li 2.69
Te  0.2500  0.2500  0.6913  4 Li 2.69


Record 4
Here is an optimized crystal structure of Li3HoP4 from OQMD via LeMat-Bulk. Energies are from PBE.

Summary:
As for the energy: -4.1380 eV/atom.

Unit cell a=6.3548 b=6.3548 c=6.3548 alpha=130.00 beta=130.00 gamma=73.40
With the nearest neighbours (Å) after each atom.
Fractional positions:
Ho  0.0000  0.0000  0.0000  6 P 2.69-2.79
Li  0.5000  0.5000  0.0000  2 P 2.31
Li  0.7500  0.2500  0.5000  6 P 2.55-2.70
Li  0.2500  0.7500  0.5000  6 P 2.55-2.70
P  0.2735  0.2735  0.0000  1 Li 2.31
P  0.7265  0.7265  0.0000  1 Li 2.31
P  0.5000  0.0000  0.5000  4 Li 2.55-2.69, 2 Ho 2.69
P  0.0000  0.5000  0.5000  4 Li 2.55-2.69, 2 Ho 2.69


Record 5
Here is an optimized crystal structure of Li2Ho2Pa from OQMD via LeMat-Bulk. Energies are from PBE.

Summary:
As for the energy: -3.7409 eV/atom.

Unit cell a=11.4786 b=10.7069 c=5.6852 alpha=82.83 beta=67.74 gamma=29.43
With the nearest neighbours (Å) after each atom.
Fractional positions:
Ho  0.0839  0.4161  0.0839  3 Pa 3.21-3.32, 3 Ho 3.22-3.30, 4 Li 3.34-3.39
Ho  0.1661  0.8339  0.1661  3 Pa 3.21-3.32, 3 Ho 3.22-3.30, 4 Li 3.34-3.39
Ho  0.4161  0.0839  0.4161  3 Pa 3.21-3.32, 3 Ho 3.22-3.30, 4 Li 3.34-3.39
Ho  0.8339  0.1661  0.8339  3 Pa 3.21-3.32, 3 Ho 3.22-3.30, 4 Li 3.34-3.39
Li  0.6250  0.6250  0.1250  2 Li 2.84, 2 Pa 2.95
Li  0.6250  0.1250  0.6250  2 Li 2.84, 2 Pa 2.95
Li  0.1250  0.6250  0.6250  2 Li 2.84, 2 Pa 2.95
Li  0.6250  0.6250  0.6250  2 Li 2.84, 2 Pa 2.95
Pa  0.5000  0.5000  0.5000  4 Li 2.95, 4 Ho 3.21
Pa  0.7500  0.7500  0.7500  4 Li 2.95, 4 Ho 3.21


Record 6
Here is an optimized crystal structure of Li3PrHo2Pb3 from OQMD via LeMat-Bulk. Energies are from PBE.

Summary:
As for the energy: -3.9037 eV/atom.

Unit cell a=4.7711 b=4.7711 c=11.1493 alpha=90.00 beta=90.00 gamma=120.00
With the nearest neighbours (Å) after each atom.
Fractional positions:
Ho  0.0000  0.0000  0.3402  6 Li 3.16-3.28, 6 Pb 3.26-3.28
Ho  0.0000  0.0000  0.6599  6 Li 3.16-3.28, 6 Pb 3.26-3.28
Li  0.6667  0.3333  0.2011  3 Pb 2.76
Li  0.3333  0.6667  0.5000  3 Pb 2.75
Li  0.6667  0.3333  0.7989  3 Pb 2.76
Pb  0.3333  0.6667  0.1831  3 Li 2.76
Pb  0.6667  0.3333  0.5000  3 Li 2.75
Pb  0.3333  0.6667  0.8169  3 Li 2.76
Pr  0.0000  0.0000  0.0000  6 Pb 3.43, 6 Li 3.55, 2 Ho 3.79


Record 7
Here is an optimized crystal structure of Sr2Li3HoPb3 from OQMD via LeMat-Bulk. Energies are from PBE.

Summary:
As for the energy: -3.2203 eV/atom.

Unit cell a=4.9626 b=4.9626 c=11.6145 alpha=90.00 beta=90.00 gamma=120.00
With the nearest neighbours (Å) after each atom.
Fractional positions:
Ho  0.0000  0.0000  0.0000  6 Pb 3.29, 6 Li 3.49
Li  0.6667  0.3333  0.1716  3 Pb 2.89
Li  0.3333  0.6667  0.5000  3 Pb 2.87
Li  0.6667  0.3333  0.8284  3 Pb 2.89
Pb  0.3333  0.6667  0.1391  3 Li 2.89, 1 Pb 3.23
Pb  0.6667  0.3333  0.5000  3 Li 2.87
Pb  0.3333  0.6667  0.8609  3 Li 2.89, 1 Pb 3.23
Sr  0.0000  0.0000  0.3335  6 Li 3.43-3.46, 6 Pb 3.46-3.65
Sr  0.0000  0.0000  0.6665  6 Li 3.43-3.46, 6 Pb 3.46-3.65


Record 8
Here is an optimized crystal structure of Li3Tb2HoPb3 from OQMD via LeMat-Bulk. Energies are from PBE.

Summary:
As for the energy: -3.8768 eV/atom.

Unit cell a=4.7923 b=4.7923 c=10.8530 alpha=90.00 beta=90.00 gamma=120.00
With the nearest neighbours (Å) after each atom.
Fractional positions:
Ho  0.0000  0.0000  0.0000  6 Pb 3.34, 6 Li 3.45, 2 Tb 3.64
Li  0.6667  0.3333  0.1892  3 Pb 2.77
Li  0.3333  0.6667  0.5000  3 Pb 2.77
Li  0.6667  0.3333  0.8108  3 Pb 2.77
Pb  0.3333  0.6667  0.1722  3 Li 2.77
Pb  0.6667  0.3333  0.5000  3 Li 2.77
Pb  0.3333  0.6667  0.8278  3 Li 2.77
Tb  0.0000  0.0000  0.3352  6 Li 3.19-3.29, 6 Pb 3.28-3.29
Tb  0.0000  0.0000  0.6648  6 Li 3.19-3.29, 6 Pb 3.28-3.29


Record 9
Here is an optimized crystal structure of Li3TbHo2Pb3 from OQMD via LeMat-Bulk. Energies are from PBE.

Summary:
As for the energy: -3.8670 eV/atom.

Unit cell a=4.7763 b=4.7763 c=10.8260 alpha=90.00 beta=90.00 gamma=120.00
With the nearest neighbours (Å) after each atom.
Fractional positions:
Ho  0.0000  0.0000  0.3357  6 Li 3.18-3.28, 6 Pb 3.27-3.28, 1 Ho 3.56
Ho  0.0000  0.0000  0.6643  6 Li 3.18-3.28, 6 Pb 3.27-3.28, 1 Ho 3.56
Li  0.6667  0.3333  0.1896  3 Pb 2.76
Li  0.3333  0.6667  0.5000  3 Pb 2.76
Li  0.6667  0.3333  0.8104  3 Pb 2.76
Pb  0.3333  0.6667  0.1729  3 Li 2.76
Pb  0.6667  0.3333  0.5000  3 Li 2.76
Pb  0.3333  0.6667  0.8271  3 Li 2.76
Tb  0.0000  0.0000  0.0000  6 Pb 3.33, 6 Li 3.44, 2 Ho 3.63


Record 10
Here is an optimized crystal structure of LiHoPd2 from OQMD via LeMat-Bulk. Energies are from PBE.

Summary:
As for the energy: -4.9466 eV/atom.

Unit cell a=3.4204 b=3.4204 c=6.0568 alpha=90.00 beta=90.00 gamma=90.00
With the nearest neighbours (Å) after each atom.
Fractional positions:
Ho  0.5000  0.5000  0.5000  8 Pd 2.91, 2 Li 3.03
Li  0.5000  0.5000  0.0000  8 Pd 2.80, 2 Ho 3.03
Pd  0.0000  0.0000  0.2316  4 Li 2.80, 1 Pd 2.81, 4 Ho 2.91
Pd  0.0000  0.0000  0.7684  4 Li 2.80, 1 Pd 2.81, 4 Ho 2.91


Record 11
Here is an optimized crystal structure of LiHoPdS3 from OQMD via LeMat-Bulk. Energies are from PBE.

Summary:
As for the energy: -5.1130 eV/atom.

Unit cell a=6.6710 b=6.6710 c=10.0933 alpha=90.00 beta=90.00 gamma=147.04
With the nearest neighbours (Å) after each atom.
Fractional positions:
Ho  0.0000  0.0000  0.0000  6 S 2.73-2.87
Ho  0.0000  0.0000  0.5000  6 S 2.73-2.87
Li  0.2165  0.7835  0.2500  6 S 2.72-2.95
Li  0.7835  0.2165  0.7500  6 S 2.72-2.95
Pd  0.5055  0.4945  0.2500  4 S 2.38-2.40
Pd  0.4945  0.5055  0.7500  4 S 2.38-2.40
S  0.6389  0.3611  0.0829  1 Pd 2.40
S  0.8932  0.1068  0.2500  2 Pd 2.38
S  0.6389  0.3611  0.4171  1 Pd 2.40
S  0.3611  0.6389  0.5829  1 Pd 2.40
S  0.1068  0.8932  0.7500  2 Pd 2.38
S  0.3611  0.6389  0.9171  1 Pd 2.40


Record 12
Here is an optimized crystal structure of LiPmHo from OQMD via LeMat-Bulk. Energies are from PBE.

Summary:
The polymorph energy (0 for the lowest one) comes out at 0.000 eV/atom. As for the energy: -3.2435 eV/atom.

Unit cell a=5.0660 b=5.0660 c=5.0660 alpha=60.00 beta=60.00 gamma=60.00
With the nearest neighbours (Å) after each atom.
Fractional positions:
Ho  0.5000  0.5000  0.5000  4 Li 3.10
Li  0.2500  0.2500  0.2500  4 Ho 3.10, 4 Pm 3.10
Pm  0.0000  0.0000  0.0000  4 Li 3.10